Entry P
Y2In2Bi: relaxed, PBE.

Summary:
**Density of states at the Fermi level**: 5.18 states/eV/f.u.

CIF file:
```
data_Y2In2Bi
_symmetry_space_group_name_H-M 'I 4/m m m'
_symmetry_Int_Tables_number 139
_symmetry_space_group_name_Hall '-I 4 2'
_cell_length_a 4.975
_cell_length_b 4.975
_cell_length_c 12.835
_cell_angle_alpha 90.00
_cell_angle_beta 90.00
_cell_angle_gamma 90.00
loop_
_atom_site_label
_atom_site_type_symbol
_atom_site_fract_x
_atom_site_fract_y
_atom_site_fract_z
Y1 Y 0.000 0.500 0.250
In1 In 0.000 0.000 0.105
Bi1 Bi 0.000 0.000 0.500
```


Entry Q
Y2In2Bi: relaxed, PBE.

Summary:
**Density of states at the Fermi level**: 4.29 states/eV/f.u.

CIF file:
```
data_Y2In2Bi
_symmetry_space_group_name_H-M 'P 4/m b m'
_symmetry_Int_Tables_number 127
_symmetry_space_group_name_Hall '-P 4 2ab'
_cell_length_a 8.011
_cell_length_b 8.011
_cell_length_c 4.443
_cell_angle_alpha 90.00
_cell_angle_beta 90.00
_cell_angle_gamma 90.00
loop_
_atom_site_label
_atom_site_type_symbol
_atom_site_fract_x
_atom_site_fract_y
_atom_site_fract_z
Y1 Y 0.171 0.329 0.000
In1 In 0.127 0.627 0.500
Bi1 Bi 0.000 0.000 0.500
```


Entry R
Y2In2Bi: relaxed, PBE.

Summary:
**Density of states at the Fermi level**: 3.36 states/eV/f.u.

CIF file:
```
data_Y2In2Bi
_symmetry_space_group_name_H-M 'P 4/m b m'
_symmetry_Int_Tables_number 127
_symmetry_space_group_name_Hall '-P 4 2ab'
_cell_length_a 8.050
_cell_length_b 8.050
_cell_length_c 4.660
_cell_angle_alpha 90.00
_cell_angle_beta 90.00
_cell_angle_gamma 90.00
loop_
_atom_site_label
_atom_site_type_symbol
_atom_site_fract_x
_atom_site_fract_y
_atom_site_fract_z
Y1 Y 0.161 0.339 0.000
In1 In 0.138 0.638 0.500
Bi1 Bi 0.000 0.000 0.000
```


Of the structures shown above, entry Q is the most stable.